[1]
# KCrRu2, optimized geometry, DFT PBE
# * spin magnetization: 0.00 μB/atom
# * formation energy: 68 kJ per mole of atoms
# * ΔE to the lowest computed polymorph: 0.031 eV/atom
data_KCrRu2
_chemical_formula_sum 'K1 Cr1 Ru2'
_cell_length_a 2.884
_cell_length_b 3.197
_cell_length_c 8.176
_cell_angle_alpha 90.00
_cell_angle_beta 90.00
_cell_angle_gamma 90.00
_symmetry_space_group_name_H-M 'P m m m'
_symmetry_Int_Tables_number 47
loop_
_symmetry_equiv_pos_as_xyz
'x,y,z'
'-x,-y,-z'
'-x,-y,z'
'x,y,-z'
'x,-y,-z'
'-x,y,z'
'-x,y,-z'
'x,-y,z'
loop_
_atom_site_label
_atom_site_type_symbol
_atom_site_fract_x
_atom_site_fract_y
_atom_site_fract_z
K1 K 0.000 0.000 0.000
Cr1 Cr 0.000 0.000 0.500
Ru1 Ru 0.500 0.500 0.343

[2]
# K4CrRu, optimized geometry, DFT PBE
# * spin magnetization: 1.24 μB/atom
# * formation energy: 133 kJ per mole of atoms
data_K4CrRu
_chemical_formula_sum 'K16 Cr4 Ru4'
_cell_length_a 9.837
_cell_length_b 9.837
_cell_length_c 9.837
_cell_angle_alpha 90.00
_cell_angle_beta 90.00
_cell_angle_gamma 90.00
_symmetry_space_group_name_H-M 'F -4 3 m'
_symmetry_Int_Tables_number 216
_symmetry_space_group_name_Hall 'F -4 2 3'
loop_
_atom_site_label
_atom_site_type_symbol
_atom_site_fract_x
_atom_site_fract_y
_atom_site_fract_z
K1 K 0.124 0.124 0.124
Cr1 Cr 0.000 0.000 0.500
Ru1 Ru 0.250 0.250 0.750

[3]
# KCr2Ru, optimized geometry, DFT PBE
# * spin magnetization: 1.87 μB/atom
# * formation energy: 130 kJ per mole of atoms
# * ΔE to the lowest computed polymorph: 0.634 eV/atom
data_KCr2Ru
_chemical_formula_sum 'K1 Cr2 Ru1'
_cell_length_a 5.027
_cell_length_b 5.027
_cell_length_c 2.952
_cell_angle_alpha 90.00
_cell_angle_beta 90.00
_cell_angle_gamma 90.00
_symmetry_space_group_name_H-M 'P 4/m m m'
_symmetry_Int_Tables_number 123
_symmetry_space_group_name_Hall '-P 4 2'
loop_
_atom_site_label
_atom_site_type_symbol
_atom_site_fract_x
_atom_site_fract_y
_atom_site_fract_z
K1 K 0.000 0.000 0.000
Cr1 Cr 0.000 0.500 0.500
Ru1 Ru 0.500 0.500 0.000

[4]
# KCr2Ru, optimized geometry, DFT PBE
# * spin magnetization: 1.66 μB/atom
# * formation energy: 119 kJ per mole of atoms
# * ΔE to the lowest computed polymorph: 0.515 eV/atom
data_KCr2Ru
_chemical_formula_sum 'K2 Cr4 Ru2'
_cell_length_a 3.067
_cell_length_b 5.741
_cell_length_c 10.115
_cell_angle_alpha 90.00
_cell_angle_beta 90.00
_cell_angle_gamma 90.00
_symmetry_space_group_name_H-M 'I m m m'
_symmetry_Int_Tables_number 71
_symmetry_space_group_name_Hall '-I 2 2'
loop_
_atom_site_label
_atom_site_type_symbol
_atom_site_fract_x
_atom_site_fract_y
_atom_site_fract_z
K1 K 0.000 0.000 0.000
Cr1 Cr 0.000 0.500 0.188
Ru1 Ru 0.000 0.000 0.500

[5]
# KCr2Ru, optimized geometry, DFT PBE
# * spin magnetization: 0.59 μB/atom
# * formation energy: 69 kJ per mole of atoms
# * ΔE to the lowest computed polymorph: 0.000 eV/atom
data_KCr2Ru
_chemical_formula_sum 'K1 Cr2 Ru1'
_cell_length_a 2.973
_cell_length_b 2.973
_cell_length_c 8.497
_cell_angle_alpha 90.00
_cell_angle_beta 90.00
_cell_angle_gamma 90.00
_symmetry_space_group_name_H-M 'P 4 m m'
_symmetry_Int_Tables_number 99
loop_
_symmetry_equiv_pos_as_xyz
'x,y,z'
'-y,x,z'
'-x,-y,z'
'y,-x,z'
'-x,y,z'
'y,x,z'
'x,-y,z'
'-y,-x,z'
loop_
_atom_site_label
_atom_site_type_symbol
_atom_site_fract_x
_atom_site_fract_y
_atom_site_fract_z
K1 K 0.000 0.000 0.000
Cr1 Cr 0.000 0.000 0.483
Cr2 Cr 0.500 0.500 0.655
Ru1 Ru 0.500 0.500 0.321

[6]
# K4Cr2Ru, optimized geometry, DFT PBE
# * spin magnetization: 1.76 μB/atom
# * formation energy: 133 kJ per mole of atoms
data_K4Cr2Ru
_chemical_formula_sum 'K8 Cr4 Ru2'
_cell_length_a 6.258
_cell_length_b 6.258
_cell_length_c 16.620
_cell_angle_alpha 90.00
_cell_angle_beta 90.00
_cell_angle_gamma 90.00
_symmetry_space_group_name_H-M 'I 4/m m m'
_symmetry_Int_Tables_number 139
_symmetry_space_group_name_Hall '-I 4 2'
loop_
_atom_site_label
_atom_site_type_symbol
_atom_site_fract_x
_atom_site_fract_y
_atom_site_fract_z
K1 K 0.000 0.000 0.192
K2 K 0.000 0.500 0.000
Cr1 Cr 0.000 0.000 0.409
Ru1 Ru 0.000 0.000 0.000

[7]
# KCrRu2, optimized geometry, DFT PBE
# * spin magnetization: 0.44 μB/atom
# * formation energy: 132 kJ per mole of atoms
# * ΔE to the lowest computed polymorph: 0.694 eV/atom
data_KCrRu2
_chemical_formula_sum 'K4 Cr4 Ru8'
_cell_length_a 6.505
_cell_length_b 6.505
_cell_length_c 6.505
_cell_angle_alpha 90.00
_cell_angle_beta 90.00
_cell_angle_gamma 90.00
_symmetry_space_group_name_H-M 'F -4 3 m'
_symmetry_Int_Tables_number 216
_symmetry_space_group_name_Hall 'F -4 2 3'
loop_
_atom_site_label
_atom_site_type_symbol
_atom_site_fract_x
_atom_site_fract_y
_atom_site_fract_z
K1 K 0.000 0.000 0.000
Cr1 Cr 0.250 0.250 0.250
Ru1 Ru 0.000 0.000 0.500
Ru2 Ru 0.250 0.250 0.750

[8]
# KCrRu2, optimized geometry, DFT PBE
# * spin magnetization: 0.40 μB/atom
# * formation energy: 109 kJ per mole of atoms
# * ΔE to the lowest computed polymorph: 0.447 eV/atom
data_KCrRu2
_chemical_formula_sum 'K2 Cr2 Ru4'
_cell_length_a 2.777
_cell_length_b 5.276
_cell_length_c 10.261
_cell_angle_alpha 90.00
_cell_angle_beta 90.00
_cell_angle_gamma 90.00
_symmetry_space_group_name_H-M 'I m m 2'
_symmetry_Int_Tables_number 44
loop_
_symmetry_equiv_pos_as_xyz
'x,y,z'
'-x,-y,z'
'-x,y,z'
'x,-y,z'
'x+1/2,y+1/2,z+1/2'
'-x+1/2,-y+1/2,z+1/2'
'-x+1/2,y+1/2,z+1/2'
'x+1/2,-y+1/2,z+1/2'
loop_
_atom_site_label
_atom_site_type_symbol
_atom_site_fract_x
_atom_site_fract_y
_atom_site_fract_z
K1 K 0.000 0.000 0.000
Cr1 Cr 0.000 0.500 0.207
Ru1 Ru 0.000 0.000 0.499
Ru2 Ru 0.000 0.500 0.789

[9]
# KCr3Ru, optimized geometry, DFT PBE
# * spin magnetization: 2.13 μB/atom
# * formation energy: 112 kJ per mole of atoms
# * ΔE to the lowest computed polymorph: 0.000 eV/atom
data_KCr3Ru
_chemical_formula_sum 'K1 Cr3 Ru1'
_cell_length_a 4.897
_cell_length_b 4.897
_cell_length_c 4.897
_cell_angle_alpha 90.00
_cell_angle_beta 90.00
_cell_angle_gamma 90.00
_symmetry_space_group_name_H-M 'P m -3 m'
_symmetry_Int_Tables_number 221
_symmetry_space_group_name_Hall '-P 4 2 3'
loop_
_atom_site_label
_atom_site_type_symbol
_atom_site_fract_x
_atom_site_fract_y
_atom_site_fract_z
K1 K 0.000 0.000 0.000
Cr1 Cr 0.000 0.500 0.500
Ru1 Ru 0.500 0.500 0.500

[10]
# KCr4Ru, optimized geometry, DFT PBE
# * spin magnetization: 0.00 μB/atom
# * formation energy: 107 kJ per mole of atoms
data_KCr4Ru
_chemical_formula_sum 'K4 Cr16 Ru4'
_cell_length_a 7.033
_cell_length_b 7.033
_cell_length_c 7.033
_cell_angle_alpha 90.00
_cell_angle_beta 90.00
_cell_angle_gamma 90.00
_symmetry_space_group_name_H-M 'F -4 3 m'
_symmetry_Int_Tables_number 216
_symmetry_space_group_name_Hall 'F -4 2 3'
loop_
_atom_site_label
_atom_site_type_symbol
_atom_site_fract_x
_atom_site_fract_y
_atom_site_fract_z
K1 K 0.000 0.000 0.000
Cr1 Cr 0.124 0.124 0.376
Ru1 Ru 0.250 0.250 0.750

[11]
# KCrRu2, optimized geometry, DFT PBE
# * spin magnetization: 0.00 μB/atom
# * formation energy: 135 kJ per mole of atoms
# * ΔE to the lowest computed polymorph: 0.718 eV/atom
data_KCrRu2
_chemical_formula_sum 'K4 Cr4 Ru8'
_cell_length_a 6.301
_cell_length_b 6.301
_cell_length_c 6.301
_cell_angle_alpha 90.00
_cell_angle_beta 90.00
_cell_angle_gamma 90.00
_symmetry_space_group_name_H-M 'F m -3 m'
_symmetry_Int_Tables_number 225
_symmetry_space_group_name_Hall '-F 4 2 3'
loop_
_atom_site_label
_atom_site_type_symbol
_atom_site_fract_x
_atom_site_fract_y
_atom_site_fract_z
K1 K 0.000 0.000 0.000
Cr1 Cr 0.000 0.000 0.500
Ru1 Ru 0.250 0.250 0.250

[12]
# KCrRu2, optimized geometry, DFT PBE
# * spin magnetization: 0.51 μB/atom
# * formation energy: 97 kJ per mole of atoms
# * ΔE to the lowest computed polymorph: 0.329 eV/atom
data_KCrRu2
_chemical_formula_sum 'K2 Cr2 Ru4'
_cell_length_a 2.784
_cell_length_b 5.062
_cell_length_c 9.791
_cell_angle_alpha 90.00
_cell_angle_beta 90.00
_cell_angle_gamma 90.00
_symmetry_space_group_name_H-M 'I m m m'
_symmetry_Int_Tables_number 71
_symmetry_space_group_name_Hall '-I 2 2'
loop_
_atom_site_label
_atom_site_type_symbol
_atom_site_fract_x
_atom_site_fract_y
_atom_site_fract_z
K1 K 0.000 0.000 0.000
Cr1 Cr 0.000 0.000 0.500
Ru1 Ru 0.000 0.500 0.213